(1)
La6Tb5Y2, relaxed, DFT PBE; space group = No. 55; raw total energy = -4.94 eV per atom
1.0
-0.3219 -2.1956 -2.9043
-7.9963 -6.5223 5.8172
-15.3556 12.1509 -7.4839
La Tb Y
12 10 4
Direct
0.0000 0.0810 0.3664
0.0000 0.9190 0.6336
0.0000 0.5810 0.1336
0.0000 0.4190 0.8664
0.5000 0.3255 0.1340
0.5000 0.6745 0.8660
0.5000 0.8255 0.3660
0.5000 0.1745 0.6340
0.0000 0.5594 0.4200
0.0000 0.4406 0.5800
0.0000 0.0594 0.0800
0.0000 0.9406 0.9200
0.5000 0.3001 0.4425
0.5000 0.6999 0.5575
0.5000 0.8001 0.0575
0.5000 0.1999 0.9425
0.5000 0.5952 0.2740
0.5000 0.4048 0.7260
0.5000 0.0952 0.2260
0.5000 0.9048 0.7740
0.5000 0.5000 0.0000
0.5000 0.0000 0.5000
0.0000 0.3362 0.2895
0.0000 0.6638 0.7105
0.0000 0.8362 0.2105
0.0000 0.1638 0.7895

=====

(2)
LaTb5Y3, relaxed, DFT PBE; space group = No. 12; energy relative to the lowest polymorph listed for this composition = 199 meV/atom
1.0
9.3926 -0.1094 1.5907
2.4660 9.0638 1.5907
5.5901 4.2210 9.3331
La Tb Y
2 10 6
Direct
0.1636 0.1636 0.5868
0.8364 0.8364 0.4132
0.8566 0.3561 0.2472
0.2572 0.7428 0.0000
0.8204 0.8204 0.9544
0.4979 0.4979 0.2280
0.5021 0.5021 0.7720
0.1796 0.1796 0.0456
0.3561 0.8566 0.2472
0.7428 0.2572 0.0000
0.1434 0.6439 0.7528
0.6439 0.1434 0.7528
0.6885 0.6885 0.8193
0.6589 0.6589 0.3567
0.0000 0.0000 0.0000
0.0000 0.0000 0.5000
0.3115 0.3115 0.1807
0.3411 0.3411 0.6433

=====

(3)
La12Tb5Y2, relaxed, DFT PBE; space group = No. 12; energy relative to the lowest polymorph listed for this composition = 0 meV/atom
1.0
-4.0585 5.2977 6.8567
-5.0351 -6.7921 -4.4085
2.4078 -5.7662 5.8804
La Tb Y
12 5 2
Direct
0.8399 0.6797 0.1373
0.0305 0.6433 0.7757
0.6128 0.6433 0.7757
0.1685 0.7850 0.3744
0.6166 0.7850 0.3744
0.4514 0.9028 0.7148
0.5486 0.0972 0.2852
0.8315 0.2150 0.6256
0.3834 0.2150 0.6256
0.9695 0.3567 0.2243
0.3872 0.3567 0.2243
0.1601 0.3203 0.8627
0.2522 0.5043 0.5293
0.3509 0.7017 0.0628
0.0000 0.0000 0.5000
0.6491 0.2983 0.9372
0.7478 0.4957 0.4707
0.7822 0.0000 0.0000
0.2178 0.0000 0.0000